Entry 1:
La2TeI2: relaxed, GGA-PBEsol.

Calculated values
The volume is 188.2 Å³ per cell. Its symmetry is R-3m, No. 166. As for the magnetic moment: 0.0 μB per formula unit. The uncorrected energy is -5.0607 eV/atom.

Structure (extended XYZ):
```
5
Lattice="2.2240 1.2840 10.9855 -2.2240 1.2840 10.9855 0.0000 -2.5680 10.9855" Properties=species:S:1:pos:R:3 pbc="T T T"
La 0.0000 0.0000 3.7171
La 0.0000 0.0000 29.2393
Te 0.0000 0.0000 16.4782
I 0.0000 0.0000 9.2802
I 0.0000 0.0000 23.6762
```

Entry 2:
LaTiTe2I: relaxed, GGA-PBEsol.

Calculated values
The volume is 149.0 Å³ per cell. Its symmetry is P4/mmm, No. 123. As for the magnetic moment: 0.8 μB per formula unit. The uncorrected energy is -5.1554 eV/atom.

Structure (extended XYZ):
```
5
Lattice="5.3298 0.0000 0.0000 0.0000 5.3298 0.0000 0.0000 0.0000 5.2442" Properties=species:S:1:pos:R:3 pbc="T T T"
La 0.0000 0.0000 0.0000
Ti 2.6649 2.6649 2.6221
Te 0.0000 2.6649 2.6221
Te 2.6649 0.0000 2.6221
I 2.6649 2.6649 0.0000
```